# 1
Compound: CsKUS3
Source: Alexandria via LeMat-Bulk
Functional: PBE
Structure: optimized geometry

Cell and atoms, written as POSCAR:
```
CsKUS3
1.0
-7.028 1.523 1.525
-2.895 0.011 -7.175
-2.945 -7.499 -2.995
Cs S K U
2 6 2 2
Direct
0.750 0.750 0.500
0.250 0.250 0.500
0.504 0.818 0.928
0.250 0.783 0.434
0.996 0.254 0.928
0.750 0.217 0.566
0.004 0.746 0.072
0.496 0.182 0.072
0.250 0.581 0.838
0.750 0.419 0.162
0.250 0.948 0.104
0.750 0.052 0.896
```

## Properties
raw formation energy: -1.323 eV/atom
total magnetization: 2.00 μB per formula unit

***

# 2
Compound: Er4ZnBi
Source: Alexandria via LeMat-Bulk
Functional: PBE
Structure: optimized geometry

Cell and atoms, written as POSCAR:
```
Er4ZnBi
1.0
-7.597 -5.983 -1.575
-1.766 -7.403 6.170
-7.795 0.316 5.927
Bi Zn Er
4 4 16
Direct
0.214 0.595 0.595
0.595 0.214 0.595
0.595 0.595 0.595
0.595 0.595 0.214
0.153 0.153 0.153
0.153 0.153 0.541
0.153 0.541 0.153
0.541 0.153 0.153
0.816 0.184 0.816
0.560 0.940 0.940
0.816 0.184 0.184
0.940 0.940 0.560
0.560 0.560 0.940
0.901 0.366 0.366
0.816 0.816 0.184
0.940 0.560 0.560
0.940 0.560 0.940
0.184 0.184 0.816
0.184 0.816 0.184
0.560 0.940 0.560
0.366 0.366 0.901
0.184 0.816 0.816
0.366 0.901 0.366
0.366 0.366 0.366
```

## Properties
energy above the lowest structure with this stoichiometry: 0.0 kJ per mole of atoms
formation enthalpy at 0 K: -0.343 eV per atom
total magnetization: 0.00 μB per formula unit

***

# 3
Compound: LiPr3N
Source: Alexandria via LeMat-Bulk
Functional: PBE
Structure: optimized geometry

Cell and atoms, written as POSCAR:
```
LiPr3N
1.0
-4.354 -2.456 -1.089
2.112 -4.411 1.503
-1.661 0.830 4.768
Pr N Li
3 1 1
Direct
0.500 0.000 0.000
0.000 0.000 0.500
0.000 0.500 0.000
0.000 0.000 0.000
0.500 0.500 0.500
```

## Properties
raw formation energy: -0.421 eV/atom
total magnetization: 0.00 μB per formula unit

***

# 4
Compound: Nd2DyMg4
Source: Alexandria via LeMat-Bulk
Functional: PBE
Structure: optimized geometry

Cell and atoms, written as POSCAR:
```
Nd2DyMg4
1.0
5.199 0.000 -1.657
-0.528 5.172 -1.657
-0.228 -0.252 8.270
Mg Nd Dy
4 2 1
Direct
0.113 0.613 0.226
0.887 0.387 0.774
0.387 0.887 0.774
0.613 0.113 0.226
0.747 0.747 0.494
0.253 0.253 0.506
0.000 0.000 0.000
```

## Properties
formation enthalpy at 0 K: 0.118 eV per atom
total magnetization: 0.00 μB per formula unit

***

# 5
Compound: PrZnPbAu
Source: Alexandria via LeMat-Bulk
Functional: PBE
Structure: optimized geometry

Cell and atoms, written as POSCAR:
```
PrZnPbAu
1.0
5.144 0.000 0.000
2.572 4.455 0.000
2.572 1.485 4.200
Pb Pr Zn Au
1 1 1 1
Direct
0.750 0.750 0.750
0.250 0.250 0.250
0.500 0.500 0.500
0.000 0.000 0.000
```

## Properties
formation enthalpy at 0 K: -0.428 eV per atom
total magnetization: 0.00 μB per formula unit

***

# 6
Compound: TbCdAgHg
Source: Alexandria via LeMat-Bulk
Functional: PBE
Structure: optimized geometry

Cell and atoms, written as POSCAR:
```
TbCdAgHg
1.0
-3.928 0.544 3.071
-2.197 -4.040 2.002
0.495 -0.955 4.899
Tb Cd Hg Ag
1 1 1 1
Direct
0.250 0.250 0.250
0.750 0.750 0.750
0.500 0.500 0.500
0.000 0.000 0.000
```

## Properties
formation enthalpy at 0 K: -0.350 eV per atom
total magnetization: 0.00 μB per formula unit

***

# 7
Compound: TlZn2Cr
Source: Alexandria via LeMat-Bulk
Functional: PBE
Structure: optimized geometry

Cell and atoms, written as POSCAR:
```
TlZn2Cr
1.0
-4.303 0.362 -2.134
-2.954 -2.390 -2.959
-2.984 -2.508 3.489
Zn Cr Tl
2 1 1
Direct
0.010 0.010 0.957
0.751 0.751 0.750
0.491 0.491 0.537
0.248 0.248 0.256
```

## Properties
energy above the lowest structure with this stoichiometry: 5.3 kJ per mole of atoms
formation enthalpy at 0 K: 0.376 eV per atom
total magnetization: 3.73 μB per formula unit

***

# 8
Compound: Pa3NbC4
Source: Alexandria via LeMat-Bulk
Functional: PBE
Structure: optimized geometry

Cell and atoms, written as POSCAR:
```
Pa3NbC4
1.0
-3.556 -4.525 -1.808
5.599 -0.800 -2.238
1.750 -3.647 5.683
C Pa Nb
8 6 2
Direct
0.998 0.230 0.115
0.015 0.762 0.360
0.002 0.770 0.885
0.515 0.762 0.640
0.498 0.230 0.885
0.985 0.238 0.640
0.485 0.238 0.360
0.502 0.770 0.115
0.250 0.500 0.370
0.250 0.000 0.628
0.750 0.000 0.372
0.750 0.500 0.630
0.250 0.500 0.879
0.750 0.500 0.121
0.750 0.000 0.879
0.250 0.000 0.121
```

## Properties
formation enthalpy at 0 K: -0.454 eV per atom
total magnetization: 0.00 μB per formula unit

***

# 9
Compound: Ce2HoIr
Source: Alexandria via LeMat-Bulk
Functional: PBE
Structure: optimized geometry

Cell and atoms, written as POSCAR:
```
Ce2HoIr
1.0
3.721 0.000 0.000
0.000 3.721 0.000
0.000 0.000 7.380
Ir Ho Ce
1 1 2
Direct
0.500 0.500 0.000
0.500 0.500 0.500
0.000 0.000 0.806
0.000 0.000 0.194
```

## Properties
energy above the lowest structure with this stoichiometry: 14.7 kJ per mole of atoms
formation enthalpy at 0 K: -0.286 eV per atom
total magnetization: 0.01 μB per formula unit

***

# 10
Compound: Pm4Hg2Ge
Source: Alexandria via LeMat-Bulk
Functional: PBE
Structure: optimized geometry

Cell and atoms, written as POSCAR:
```
Pm4Hg2Ge
1.0
-4.457 -2.693 -0.816
3.348 -5.532 -0.030
-1.975 1.456 5.983
Hg Pm Ge
2 4 1
Direct
0.500 0.881 0.405
0.500 0.405 0.881
0.000 0.643 0.143
0.500 0.901 0.901
0.000 0.143 0.643
0.500 0.384 0.384
0.000 0.143 0.143
```

## Properties
formation enthalpy at 0 K: -0.406 eV per atom
total magnetization: 0.00 μB per formula unit

***

# 11
Compound: LiPaZnGa
Source: Alexandria via LeMat-Bulk
Functional: PBE
Structure: optimized geometry

Cell and atoms, written as POSCAR:
```
LiPaZnGa
1.0
-4.071 -1.502 2.052
-3.179 -2.537 -2.550
-0.642 -4.666 0.925
Ga Li Zn Pa
1 1 1 1
Direct
0.250 0.250 0.250
0.000 0.000 0.000
0.750 0.750 0.750
0.500 0.500 0.500
```

## Properties
formation enthalpy at 0 K: -0.081 eV per atom
total magnetization: 0.28 μB per formula unit

***

# 12
Compound: Li7Pd3Rh
Source: Alexandria via LeMat-Bulk
Functional: PBE
Structure: optimized geometry

Cell and atoms, written as POSCAR:
```
Li7Pd3Rh
1.0
2.711 0.000 0.000
-1.356 10.307 0.000
0.000 0.000 12.081
Li Rh Pd
14 2 6
Direct
0.590 0.181 0.905
0.410 0.819 0.405
0.279 0.557 0.405
0.410 0.819 0.095
0.721 0.443 0.905
0.554 0.109 0.366
0.590 0.181 0.595
0.554 0.109 0.134
0.446 0.891 0.866
0.315 0.630 0.750
0.721 0.443 0.595
0.279 0.557 0.095
0.446 0.891 0.634
0.685 0.370 0.250
0.970 0.939 0.250
0.030 0.061 0.750
0.844 0.688 0.562
0.156 0.312 0.438
0.156 0.312 0.062
0.162 0.324 0.750
0.838 0.676 0.250
0.844 0.688 0.938
```

## Properties
formation enthalpy at 0 K: -0.270 eV per atom
total magnetization: 0.39 μB per formula unit

***

# 13
Compound: Ba3NbSn
Source: Alexandria via LeMat-Bulk
Functional: PBE
Structure: optimized geometry

Cell and atoms, written as POSCAR:
```
Ba3NbSn
1.0
5.989 0.000 0.000
0.000 5.989 0.000
0.000 0.000 5.989
Nb Ba Sn
1 3 1
Direct
0.000 0.000 0.000
0.500 0.000 0.000
0.000 0.500 0.000
0.000 0.000 0.500
0.500 0.500 0.500
```

## Properties
energy above the lowest structure with this stoichiometry: 0.0 kJ per mole of atoms
formation enthalpy at 0 K: 0.634 eV per atom
total magnetization: 0.00 μB per formula unit

***

# 14
Compound: Be2TlZn
Source: Alexandria via LeMat-Bulk
Functional: PBE
Structure: optimized geometry

Cell and atoms, written as POSCAR:
```
Be2TlZn
1.0
-1.691 2.661 -1.573
-2.384 -2.275 -1.287
-2.783 0.625 4.051
Be Tl Zn
2 1 1
Direct
0.000 0.000 0.992
0.500 0.500 0.241
0.000 0.000 0.482
0.500 0.500 0.785
```

## Properties
energy above the lowest structure with this stoichiometry: 28.1 kJ per mole of atoms
formation enthalpy at 0 K: 0.584 eV per atom
total magnetization: 0.00 μB per formula unit

***

# 15
Compound: TaInAs4
Source: Alexandria via LeMat-Bulk
Functional: PBE
Structure: optimized geometry

Cell and atoms, written as POSCAR:
```
TaInAs4
1.0
-1.271 -4.942 2.155
-3.746 -3.229 -2.495
1.611 -4.638 -2.566
In As Ta
1 4 1
Direct
0.750 0.750 0.750
0.374 0.374 0.879
0.879 0.374 0.374
0.374 0.374 0.374
0.374 0.879 0.374
0.000 0.000 0.000
```

## Properties
formation enthalpy at 0 K: 0.591 eV per atom
total magnetization: 0.00 μB per formula unit

***

# 16
Compound: CaLaAgBi
Source: Alexandria via LeMat-Bulk
Functional: PBE
Structure: optimized geometry

Cell and atoms, written as POSCAR:
```
CaLaAgBi
1.0
5.506 0.000 0.000
2.753 4.769 0.000
2.753 1.590 4.496
Ag Ca La Bi
1 1 1 1
Direct
0.000 0.000 0.000
0.250 0.250 0.250
0.750 0.750 0.750
0.500 0.500 0.500
```

## Properties
formation enthalpy at 0 K: -0.560 eV per atom
total magnetization: 0.00 μB per formula unit

***

# 17
Compound: Cd2SnHgRh
Source: Alexandria via LeMat-Bulk
Functional: PBE
Structure: optimized geometry

Cell and atoms, written as POSCAR:
```
Cd2SnHgRh
1.0
5.290 0.000 0.000
0.000 5.290 0.000
0.000 0.000 4.998
Sn Cd Hg Rh
1 2 1 1
Direct
0.000 0.000 0.500
0.000 0.500 0.000
0.500 0.000 0.000
0.500 0.500 0.500
0.000 0.000 0.000
```

## Properties
formation enthalpy at 0 K: -0.022 eV per atom
total magnetization: 0.00 μB per formula unit

***

# 18
Compound: Na3Y3ZrS8
Source: Alexandria via LeMat-Bulk
Functional: PBE
Structure: optimized geometry

Cell and atoms, written as POSCAR:
```
Na3Y3ZrS8
1.0
7.863 0.000 0.000
-3.932 6.810 -0.025
0.000 -4.518 6.770
Y S Zr Na
3 8 1 3
Direct
0.500 0.500 0.500
0.000 0.500 0.500
0.500 0.000 0.500
0.769 0.538 0.283
0.258 0.515 0.273
0.231 0.462 0.717
0.244 0.014 0.283
0.742 0.485 0.727
0.231 0.986 0.717
0.756 0.986 0.717
0.769 0.014 0.283
0.000 0.000 0.500
0.000 0.500 0.000
0.000 0.000 0.000
0.500 0.500 0.000
```

## Properties
raw formation energy: -1.787 eV/atom
total magnetization: 0.00 μB per formula unit

***

# 19
Compound: LaCrRh2
Source: Alexandria via LeMat-Bulk
Functional: PBE
Structure: optimized geometry

Cell and atoms, written as POSCAR:
```
LaCrRh2
1.0
5.215 -0.371 -0.606
2.508 4.588 0.606
-3.577 -2.630 2.827
Rh La Cr
2 1 1
Direct
0.000 0.000 0.000
0.750 0.250 0.500
0.250 0.750 0.500
0.500 0.500 0.000
```

## Properties
energy above the lowest structure with this stoichiometry: 10.1 kJ per mole of atoms
formation enthalpy at 0 K: -0.042 eV per atom
total magnetization: 3.85 μB per formula unit

***

# 20
Compound: Ca2AlIr3
Source: Alexandria via LeMat-Bulk
Functional: PBE
Structure: optimized geometry

Cell and atoms, written as POSCAR:
```
Ca2AlIr3
1.0
-4.384 -1.572 -2.998
3.635 -3.779 1.786
-0.473 1.833 4.849
Ir Al Ca
3 1 2
Direct
0.000 0.000 0.500
0.500 0.000 0.500
0.500 0.500 0.500
0.000 0.000 0.000
0.249 0.624 0.873
0.751 0.376 0.127
```

## Properties
formation enthalpy at 0 K: -0.581 eV per atom
total magnetization: 0.00 μB per formula unit